{"formula": "CdAsPbSe2", "functional": "PBE-GGA", "state": "relaxed", "density_g_cm3": 5.94, "e_above_lowest_polymorph_mev_per_atom": 0, "dos_ef_per_ev_cell": 5.00, "e_form_raw_mev_per_atom": 374, "final_energy_ev_per_atom": -2.875, "lattice_angstrom": [[5.450, 0.000, 0.000], [0.000, 5.450, 0.000], [0.000, 0.000, 5.204]], "species": ["Cd", "As", "Pb", "Se", "Se"], "frac_coords": [[0.000, 0.000, 0.000], [0.000, 0.000, 0.500], [0.500, 0.500, 0.500], [0.000, 0.500, 0.000], [0.500, 0.000, 0.000]]}


{"formula": "CdAs2PbSe", "functional": "PBE-GGA", "state": "relaxed", "density_g_cm3": 5.73, "e_above_lowest_polymorph_mev_per_atom": 0, "dos_ef_per_ev_cell": 5.16, "e_form_raw_mev_per_atom": 588, "final_energy_ev_per_atom": -2.893, "lattice_angstrom": [[5.314, 0.000, 0.000], [0.000, 5.314, 0.000], [0.000, 0.000, 5.630]], "species": ["Cd", "As", "As", "Pb", "Se"], "frac_coords": [[0.000, 0.000, 0.000], [0.000, 0.500, 0.000], [0.500, 0.000, 0.000], [0.500, 0.500, 0.500], [0.000, 0.000, 0.500]]}


What is the formula in the second record?
CdAs2PbSe